Entry from Alexandria: a relaxed structure of DyHfS2 (PBE-GGA).

Structure (extended XYZ):
```
4
Lattice="1.829 1.056 6.633 -1.829 1.056 6.633 0.000 -2.112 6.633" Properties=species:S:1:pos:R:3 pbc="T T T"
Dy 0.000 0.000 0.000
Hf 0.000 0.000 3.479
S 0.000 0.000 11.569
S 0.000 0.000 15.152
```

Output
- formation energy without anion corrections (eV per atom) = -1.550
- D(E_F) (states/eV/atom) = 0.70
- total magnetization (μB/atom) = 0.00
- ΔE to the lowest computed polymorph (meV per atom) = 11
- VASP energy (eV per atom) = -7.25
- SG = No. 160